DFT (SCAN) results for a crystal of Cd2InAu relaxed with PBEsol.

The calculation puts the energy of formation at -0.108 eV/atom.

The space group is Pm (No. 6) and the conventional cell measures 3.550, 4.329 and 5.744 Å, with angles of 90.00, 107.75 and 90.00 degrees. The inequivalent atoms are Cd at (0.000, 0.000, 0.000), Cd at (0.423, 0.500, 0.843), In at (0.682, 0.500, 0.369) and Au at (0.253, 0.000, 0.517).

DFT (SCAN) results for a crystal of CdInAu2 relaxed with PBEsol.

The calculation puts the energy of formation at -0.189 eV/atom.

The space group is Cm (No. 8) and the conventional cell measures 9.497, 3.674 and 4.564 Å, with angles of 90.00, 106.70 and 90.00 degrees. The inequivalent atoms are Cd at (0.000, 0.000, 0.000), In at (0.235, 0.000, 0.679), Au at (0.243, 0.500, 0.188) and Au at (0.492, 0.000, 0.488).

DFT (SCAN) results for a crystal of Cd2InAu relaxed with PBEsol.

The calculation puts the energy of formation at -0.090 eV/atom.

The space group is Cmmm (No. 65) and the conventional cell measures 5.631, 7.842 and 3.737 Å, with angles of 90.00, 90.00 and 90.00 degrees. The inequivalent atoms are Cd at (0.250, 0.250, 0.000), In at (0.000, 0.000, 0.500) and Au at (0.000, 0.500, 0.500).

DFT (SCAN) results for a crystal of Cd2InAu2 relaxed with PBEsol.

The calculation puts the energy of formation at -0.207 eV/atom.

The space group is P4/mbm (No. 127) and the conventional cell measures 7.334, 7.334 and 3.741 Å, with angles of 90.00, 90.00 and 90.00 degrees. The inequivalent atoms are Cd at (0.156, 0.344, 0.000), In at (0.000, 0.000, 0.500) and Au at (0.142, 0.642, 0.500).

DFT (SCAN) results for a crystal of CdInAu2 relaxed with PBEsol.

The calculation puts the energy of formation at -0.148 eV/atom.

The space group is I-4m2 (No. 119) and the conventional cell measures 4.154, 4.154 and 8.636 Å, with angles of 90.00, 90.00 and 90.00 degrees. The inequivalent atoms are Cd at (0.000, 0.000, 0.000), In at (0.000, 0.500, 0.250), Au at (0.000, 0.000, 0.500) and Au at (0.000, 0.500, 0.750).

DFT (SCAN) results for a crystal of Cd2InAu relaxed with PBEsol.

The calculation puts the energy of formation at -0.104 eV/atom.

The space group is Cm (No. 8) and the conventional cell measures 9.247, 3.769 and 4.852 Å, with angles of 90.00, 102.57 and 90.00 degrees. The inequivalent atoms are Cd at (0.000, 0.000, 0.000), Cd at (0.247, 0.000, 0.756), In at (0.259, 0.500, 0.280) and Au at (0.002, 0.500, 0.512).

DFT (SCAN) results for a crystal of Cd2InAu relaxed with PBEsol.

The calculation puts the energy of formation at -0.104 eV/atom.

The space group is C2/m (No. 12) and the conventional cell measures 9.359, 3.787 and 4.763 Å, with angles of 90.00, 102.73 and 90.00 degrees. The inequivalent atoms are Cd at (0.244, 0.000, 0.233), In at (0.000, 0.000, 0.500) and Au at (0.000, 0.500, 0.000).

DFT (SCAN) results for a crystal of CdInAu4 relaxed with PBEsol.

The calculation puts the energy of formation at -0.076 eV/atom.

The space group is F-43m (No. 216) and the conventional cell measures 7.729, 7.729 and 7.729 Å, with angles of 90.00, 90.00 and 90.00 degrees. The inequivalent atoms are Cd at (0.000, 0.000, 0.000), In at (0.250, 0.250, 0.250) and Au at (0.125, 0.125, 0.625).

DFT (SCAN) results for a crystal of Cd2InAu relaxed with PBEsol.

The calculation puts the energy of formation at -0.060 eV/atom.

The space group is I-4m2 (No. 119) and the conventional cell measures 4.299, 4.299 and 8.703 Å, with angles of 90.00, 90.00 and 90.00 degrees. The inequivalent atoms are Cd at (0.000, 0.000, 0.000), Cd at (0.000, 0.500, 0.250), In at (0.000, 0.000, 0.500) and Au at (0.000, 0.500, 0.750).

DFT (SCAN) results for a crystal of CdInAu2 relaxed with PBEsol.

The calculation puts the energy of formation at -0.201 eV/atom.

The space group is P4mm (No. 99) and the conventional cell measures 3.719, 3.719 and 5.613 Å, with angles of 90.00, 90.00 and 90.00 degrees. The inequivalent atoms are Cd at (0.000, 0.000, 0.000), In at (0.500, 0.500, 0.303), Au at (0.000, 0.000, 0.507) and Au at (0.500, 0.500, 0.800).

DFT (SCAN) results for a crystal of CdIr4Au relaxed with PBEsol.

The calculation puts the energy of formation at 0.489 eV/atom.

The space group is F-43m (No. 216) and the conventional cell measures 7.324, 7.324 and 7.324 Å, with angles of 90.00, 90.00 and 90.00 degrees. The inequivalent atoms are Cd at (0.000, 0.000, 0.000), Ir at (0.125, 0.125, 0.375) and Au at (0.250, 0.250, 0.750).

DFT (SCAN) results for a crystal of CdIrAu3 relaxed with PBEsol.

The calculation puts the energy of formation at 1.716 eV/atom.

The space group is Pm-3m (No. 221) and the conventional cell measures 4.867, 4.867 and 4.867 Å, with angles of 90.00, 90.00 and 90.00 degrees. The inequivalent atoms are Cd at (0.000, 0.000, 0.000), Ir at (0.500, 0.500, 0.500) and Au at (0.000, 0.000, 0.500).

DFT (SCAN) results for a crystal of CdIr2Au relaxed with PBEsol.

The calculation puts the energy of formation at 0.297 eV/atom.

The space group is C2/m (No. 12) and the conventional cell measures 5.520, 9.579 and 2.765 Å, with angles of 90.00, 119.59 and 90.00 degrees. The inequivalent atoms are Cd at (0.000, 0.000, 0.000), Ir at (0.250, 0.250, 0.500) and Au at (0.000, 0.500, 0.000).

DFT (SCAN) results for a crystal of KCdAu2 relaxed with PBEsol.

The calculation puts the energy of formation at -0.229 eV/atom.

The space group is P4/mmm (No. 123) and the conventional cell measures 3.468, 3.468 and 7.597 Å, with angles of 90.00, 90.00 and 90.00 degrees. The inequivalent atoms are K at (0.000, 0.000, 0.000), Cd at (0.000, 0.000, 0.500) and Au at (0.500, 0.500, 0.307).

DFT (SCAN) results for a crystal of KCd3Au relaxed with PBEsol.

The calculation puts the energy of formation at 0.831 eV/atom. The value obtained for the excess energy over the best structure of this formula in the dataset is 1006 meV per atom.

The space group is Pm-3m (No. 221) and the conventional cell measures 6.100, 6.100 and 6.100 Å, with angles of 90.00, 90.00 and 90.00 degrees. The inequivalent atoms are K at (0.000, 0.000, 0.000), Cd at (0.000, 0.000, 0.500) and Au at (0.500, 0.500, 0.500).

DFT (SCAN) results for a crystal of KCdAu3 relaxed with PBEsol.

The calculation puts the energy of formation at 1.165 eV/atom.

The space group is Pm-3m (No. 221) and the conventional cell measures 5.337, 5.337 and 5.337 Å, with angles of 90.00, 90.00 and 90.00 degrees. The inequivalent atoms are K at (0.000, 0.000, 0.000), Cd at (0.500, 0.500, 0.500) and Au at (0.000, 0.000, 0.500).

DFT (SCAN) results for a crystal of KCd3Au relaxed with PBEsol.

The calculation puts the energy of formation at -0.175 eV/atom. The value obtained for the excess energy over the best structure of this formula in the dataset is 0 meV per atom.

The space group is Pm-3m (No. 221) and the conventional cell measures 5.265, 5.265 and 5.265 Å, with angles of 90.00, 90.00 and 90.00 degrees. The inequivalent atoms are K at (0.000, 0.000, 0.000), Cd at (0.000, 0.500, 0.500) and Au at (0.500, 0.500, 0.500).

DFT (SCAN) results for a crystal of KCdAu2 relaxed with PBEsol.

The calculation puts the energy of formation at 0.034 eV/atom.

The space group is R-3m (No. 166, hexagonal axes) and the conventional cell measures 3.0669, 3.0669 and 30.2979 Å, with angles of 90.00, 90.00 and 120.00 degrees. The inequivalent atoms are K at (0.0000, 0.0000, 0.0000), Cd at (0.0000, 0.0000, 0.5000) and Au at (0.0000, 0.0000, 0.2435).

DFT (SCAN) results for a crystal of LaCdAu relaxed with PBEsol.

The calculation puts the energy of formation at -0.775 eV/atom.

The space group is P-6m2 (No. 187) and the conventional cell measures 4.8449, 4.8449 and 3.5219 Å, with angles of 90.00, 90.00 and 120.00 degrees. The inequivalent atoms are La at (0.0000, 0.0000, 0.0000), Cd at (0.6667, 0.3333, 0.5000) and Au at (0.3333, 0.6667, 0.5000).

DFT (SCAN) results for a crystal of LaCdAu2 relaxed with PBEsol.

The calculation puts the energy of formation at -0.566 eV/atom.

The space group is P4mm (No. 99) and the conventional cell measures 3.608, 3.608 and 6.842 Å, with angles of 90.00, 90.00 and 90.00 degrees. The inequivalent atoms are La at (0.000, 0.000, 0.000), Cd at (0.500, 0.500, 0.667), Au at (0.000, 0.000, 0.470) and Au at (0.500, 0.500, 0.250).

DFT (SCAN) results for a crystal of La2CdAu relaxed with PBEsol.

The calculation puts the energy of formation at -0.695 eV/atom.

The space group is Pmm2 (No. 25) and the conventional cell measures 3.746, 5.015 and 5.545 Å, with angles of 90.00, 90.00 and 90.00 degrees. The inequivalent atoms are La at (0.000, 0.000, 0.000), La at (0.000, 0.500, 0.400), Cd at (0.500, 0.500, 0.873) and Au at (0.500, 0.000, 0.532).

DFT (SCAN) results for a crystal of La2CdAu relaxed with PBEsol.

The calculation puts the energy of formation at -0.687 eV/atom.

The space group is P4/mmm (No. 123) and the conventional cell measures 5.316, 5.316 and 3.817 Å, with angles of 90.00, 90.00 and 90.00 degrees. The inequivalent atoms are La at (0.000, 0.500, 0.000), Cd at (0.000, 0.000, 0.500) and Au at (0.500, 0.500, 0.500).

DFT (SCAN) results for a crystal of LaCdAu relaxed with PBEsol.

The calculation puts the energy of formation at -0.852 eV/atom.

The space group is P-62m (No. 189) and the conventional cell measures 7.8534, 7.8534 and 4.0702 Å, with angles of 90.00, 90.00 and 120.00 degrees. The inequivalent atoms are La at (0.0000, 0.4071, 0.0000), Cd at (0.0000, 0.7474, 0.5000), Au at (0.0000, 0.0000, 0.0000) and Au at (0.3333, 0.6667, 0.5000).

DFT (SCAN) results for a crystal of LaCdAu2 relaxed with PBEsol.

The calculation puts the energy of formation at -0.603 eV/atom.

The space group is I-4m2 (No. 119) and the conventional cell measures 4.665, 4.665 and 8.050 Å, with angles of 90.00, 90.00 and 90.00 degrees. The inequivalent atoms are La at (0.000, 0.000, 0.000), Cd at (0.000, 0.500, 0.750), Au at (0.000, 0.000, 0.500) and Au at (0.000, 0.500, 0.250).

DFT (SCAN) results for a crystal of La2CdAu relaxed with PBEsol.

The calculation puts the energy of formation at -0.540 eV/atom.

The space group is I-4m2 (No. 119) and the conventional cell measures 4.515, 4.515 and 10.045 Å, with angles of 90.00, 90.00 and 90.00 degrees. The inequivalent atoms are La at (0.000, 0.000, 0.000), La at (0.000, 0.500, 0.250), Cd at (0.000, 0.500, 0.750) and Au at (0.000, 0.000, 0.500).

DFT (SCAN) results for a crystal of LaCd2Au2 relaxed with PBEsol.

The calculation puts the energy of formation at -0.697 eV/atom.

The space group is I4/mmm (No. 139) and the conventional cell measures 4.148, 4.148 and 13.152 Å, with angles of 90.00, 90.00 and 90.00 degrees. The inequivalent atoms are La at (0.000, 0.000, 0.000), Cd at (0.000, 0.500, 0.250) and Au at (0.000, 0.000, 0.397).

DFT (SCAN) results for a crystal of LiCd2Au relaxed with PBEsol.

The calculation puts the energy of formation at -0.327 eV/atom. The value obtained for the excess energy over the best structure of this formula in the dataset is 84 meV per atom.

The space group is Pmmm (No. 47) and the conventional cell measures 3.091, 3.869 and 5.960 Å, with angles of 90.00, 90.00 and 90.00 degrees. The inequivalent atoms are Li at (0.000, 0.000, 0.000), Cd at (0.500, 0.500, 0.246) and Au at (0.000, 0.000, 0.500).

DFT (SCAN) results for a crystal of LiCdAu2 relaxed with PBEsol.

The calculation puts the energy of formation at -0.373 eV/atom.

The space group is P4mm (No. 99) and the conventional cell measures 3.448, 3.448 and 5.726 Å, with angles of 90.00, 90.00 and 90.00 degrees. The inequivalent atoms are Li at (0.000, 0.000, 0.000), Cd at (0.500, 0.500, 0.725), Au at (0.000, 0.000, 0.474) and Au at (0.500, 0.500, 0.208).

DFT (SCAN) results for a crystal of LiCd2Au relaxed with PBEsol.

The calculation puts the energy of formation at -0.331 eV/atom. The value obtained for the excess energy over the best structure of this formula in the dataset is 81 meV per atom.

The space group is P4mm (No. 99) and the conventional cell measures 3.310, 3.310 and 6.429 Å, with angles of 90.00, 90.00 and 90.00 degrees. The inequivalent atoms are Li at (0.000, 0.000, 0.000), Cd at (0.000, 0.000, 0.456), Cd at (0.500, 0.500, 0.750) and Au at (0.500, 0.500, 0.195).